# GGA-PBE NdTm2Sb2, relaxed
data_NdTm2Sb2
_chemical_formula_sum 'Nd2 Tm4 Sb4'
_cell_length_a 7.910
_cell_length_b 7.910
_cell_length_c 6.102
_cell_angle_alpha 111.04
_cell_angle_beta 111.04
_cell_angle_gamma 98.48
_space_group_name_H-M_alt 'P 1'
_space_group_IT_number 1
loop_
_space_group_symop_operation_xyz
'x,y,z'
loop_
_atom_site_label
_atom_site_type_symbol
_atom_site_fract_x
_atom_site_fract_y
_atom_site_fract_z
Nd1 Nd 0.898 0.602 0.750
Nd2 Nd 0.102 0.398 0.250
Tm1 Tm 0.226 0.915 0.512
Tm2 Tm 0.415 0.726 0.012
Tm3 Tm 0.774 0.085 0.488
Tm4 Tm 0.585 0.274 0.988
Sb1 Sb 0.182 0.318 0.750
Sb2 Sb 0.376 0.124 0.250
Sb3 Sb 0.624 0.876 0.750
Sb4 Sb 0.818 0.682 0.250
# E_form (uncorrected) = -632 meV/atom
# total magnetization = 0.000 μB per formula unit
# electronic total energy = -5.02 eV per atom

# GGA-PBE Hf2TaPt, relaxed
data_Hf2TaPt
_chemical_formula_sum 'Hf4 Ta2 Pt2'
_cell_length_a 7.604
_cell_length_b 7.604
_cell_length_c 6.087
_cell_angle_alpha 51.35
_cell_angle_beta 51.35
_cell_angle_gamma 90.00
_space_group_name_H-M_alt 'P 1'
_space_group_IT_number 1
loop_
_space_group_symop_operation_xyz
'x,y,z'
loop_
_atom_site_label
_atom_site_type_symbol
_atom_site_fract_x
_atom_site_fract_y
_atom_site_fract_z
Hf1 Hf 0.653 0.125 0.250
Hf2 Hf 0.097 0.625 0.250
Hf3 Hf 0.375 0.347 0.750
Hf4 Hf 0.875 0.903 0.750
Pt1 Pt 0.000 0.000 0.000
Pt2 Pt 0.750 0.250 0.500
Ta1 Ta 0.500 0.500 0.000
Ta2 Ta 0.250 0.750 0.500
# E_form = 0.12 eV/f.u.
# total magnetization = 0.000 μB per formula unit
# electronic total energy = -9.42 eV per atom

# GGA-PBE Li2FeCu, relaxed
data_Li2FeCu
_chemical_formula_sum 'Li4 Fe2 Cu2'
_cell_length_a 6.696
_cell_length_b 6.696
_cell_length_c 5.336
_cell_angle_alpha 51.14
_cell_angle_beta 51.14
_cell_angle_gamma 90.00
_space_group_name_H-M_alt 'P 1'
_space_group_IT_number 1
loop_
_space_group_symop_operation_xyz
'x,y,z'
loop_
_atom_site_label
_atom_site_type_symbol
_atom_site_fract_x
_atom_site_fract_y
_atom_site_fract_z
Fe1 Fe 0.500 0.500 0.000
Fe2 Fe 0.250 0.750 0.500
Cu1 Cu 0.000 0.000 0.000
Cu2 Cu 0.750 0.250 0.500
Li1 Li 0.639 0.125 0.250
Li2 Li 0.111 0.625 0.250
Li3 Li 0.375 0.361 0.750
Li4 Li 0.875 0.889 0.750
# E_form = 1.91 eV/f.u.
# total magnetization = 2.794 μB per formula unit
# electronic total energy = -3.62 eV per atom

# GGA-PBE In2HgF3, relaxed
data_In2HgF3
_chemical_formula_sum 'In4 Hg2 F6'
_cell_length_a 3.745
_cell_length_b 8.128
_cell_length_c 11.085
_cell_angle_alpha 130.05
_cell_angle_beta 90.00
_cell_angle_gamma 103.32
_space_group_name_H-M_alt 'P 1'
_space_group_IT_number 1
loop_
_space_group_symop_operation_xyz
'x,y,z'
loop_
_atom_site_label
_atom_site_type_symbol
_atom_site_fract_x
_atom_site_fract_y
_atom_site_fract_z
In1 In 0.490 0.981 0.714
In2 In 0.510 0.019 0.286
In3 In 0.771 0.541 0.277
In4 In 0.229 0.459 0.723
Hg1 Hg 0.908 0.816 0.002
Hg2 Hg 0.092 0.184 0.998
F1 F 0.325 0.651 0.645
F2 F 0.918 0.837 0.549
F3 F 0.621 0.242 0.673
F4 F 0.379 0.758 0.327
F5 F 0.082 0.163 0.451
F6 F 0.675 0.349 0.355
# E_form (uncorrected) = -1592 meV/atom
# total magnetization = 0.000 μB per formula unit
# electronic total energy = -3.49 eV per atom

# GGA-PBE Na2TcMo, relaxed
data_Na2TcMo
_chemical_formula_sum 'Na2 Tc1 Mo1'
_cell_length_a 4.726
_cell_length_b 4.726
_cell_length_c 4.726
_cell_angle_alpha 60.00
_cell_angle_beta 60.00
_cell_angle_gamma 60.00
_space_group_name_H-M_alt 'P 1'
_space_group_IT_number 1
loop_
_space_group_symop_operation_xyz
'x,y,z'
loop_
_atom_site_label
_atom_site_type_symbol
_atom_site_fract_x
_atom_site_fract_y
_atom_site_fract_z
Na1 Na 0.250 0.250 0.250
Na2 Na 0.750 0.750 0.750
Mo1 Mo 0.000 0.000 0.000
Tc1 Tc 0.500 0.500 0.500
# E_form = 7.39 eV/f.u.
# total magnetization = 3.071 μB per formula unit
# electronic total energy = -4.11 eV per atom

# GGA-PBE Ca2TmPb, relaxed
data_Ca2TmPb
_chemical_formula_sum 'Ca2 Tm1 Pb1'
_cell_length_a 5.124
_cell_length_b 4.904
_cell_length_c 4.904
_cell_angle_alpha 90.00
_cell_angle_beta 90.00
_cell_angle_gamma 90.00
_space_group_name_H-M_alt 'P 1'
_space_group_IT_number 1
loop_
_space_group_symop_operation_xyz
'x,y,z'
loop_
_atom_site_label
_atom_site_type_symbol
_atom_site_fract_x
_atom_site_fract_y
_atom_site_fract_z
Pb1 Pb 0.500 0.500 0.500
Ca1 Ca 0.000 0.000 0.500
Ca2 Ca 0.000 0.500 0.000
Tm1 Tm 0.500 0.000 0.000
# E_form = -1.04 eV/f.u.
# total magnetization = 0.000 μB per formula unit
# electronic total energy = -3.31 eV per atom

# GGA-PBE SrZn3CuAg, relaxed
data_SrZn3CuAg
_chemical_formula_sum 'Sr2 Zn6 Cu2 Ag2'
_cell_length_a 6.209
_cell_length_b 6.190
_cell_length_c 7.136
_cell_angle_alpha 115.71
_cell_angle_beta 90.00
_cell_angle_gamma 90.00
_space_group_name_H-M_alt 'P 1'
_space_group_IT_number 1
loop_
_space_group_symop_operation_xyz
'x,y,z'
loop_
_atom_site_label
_atom_site_type_symbol
_atom_site_fract_x
_atom_site_fract_y
_atom_site_fract_z
Sr1 Sr 0.750 0.275 0.549
Sr2 Sr 0.250 0.725 0.451
Zn1 Zn 0.250 0.144 0.288
Zn2 Zn 0.000 0.291 0.000
Zn3 Zn 0.500 0.709 0.000
Zn4 Zn 0.500 0.291 0.000
Zn5 Zn 0.000 0.709 0.000
Zn6 Zn 0.750 0.856 0.712
Cu1 Cu 0.250 0.953 0.907
Cu2 Cu 0.750 0.047 0.093
Ag1 Ag 0.250 0.353 0.707
Ag2 Ag 0.750 0.647 0.293
# E_form = -0.41 eV/f.u.
# total magnetization = 0.000 μB per formula unit
# electronic total energy = -2.14 eV per atom

# GGA-PBE Ce2Cd3Ga, relaxed
data_Ce2Cd3Ga
_chemical_formula_sum 'Ce4 Cd6 Ga2'
_cell_length_a 5.990
_cell_length_b 5.990
_cell_length_c 10.015
_cell_angle_alpha 114.45
_cell_angle_beta 114.45
_cell_angle_gamma 67.42
_space_group_name_H-M_alt 'P 1'
_space_group_IT_number 1
loop_
_space_group_symop_operation_xyz
'x,y,z'
loop_
_atom_site_label
_atom_site_type_symbol
_atom_site_fract_x
_atom_site_fract_y
_atom_site_fract_z
Ce1 Ce 0.750 0.250 0.500
Ce2 Ce 0.785 0.215 0.000
Ce3 Ce 0.250 0.750 0.500
Ce4 Ce 0.215 0.785 0.000
Cd1 Cd 0.822 0.822 0.168
Cd2 Cd 0.655 0.655 0.832
Cd3 Cd 0.178 0.178 0.832
Cd4 Cd 0.345 0.345 0.168
Cd5 Cd 0.170 0.170 0.339
Cd6 Cd 0.830 0.830 0.661
Ga1 Ga 0.666 0.666 0.332
Ga2 Ga 0.334 0.334 0.668
# E_form = -1.79 eV/f.u.
# total magnetization = 2.220 μB per formula unit
# electronic total energy = -3.24 eV per atom

# GGA-PBE RbBiSbN2, relaxed
data_RbBiSbN2
_chemical_formula_sum 'Rb1 Bi1 Sb1 N2'
_cell_length_a 4.426
_cell_length_b 6.716
_cell_length_c 4.426
_cell_angle_alpha 90.00
_cell_angle_beta 90.00
_cell_angle_gamma 90.00
_space_group_name_H-M_alt 'P 1'
_space_group_IT_number 1
loop_
_space_group_symop_operation_xyz
'x,y,z'
loop_
_atom_site_label
_atom_site_type_symbol
_atom_site_fract_x
_atom_site_fract_y
_atom_site_fract_z
Sb1 Sb 0.000 0.000 0.000
Bi1 Bi 0.500 0.500 0.500
Rb1 Rb 0.000 0.500 0.000
N1 N 0.000 0.000 0.500
N2 N 0.500 0.000 0.000
# E_form (uncorrected) = 1708 meV/atom
# total magnetization = 1.579 μB per formula unit
# electronic total energy = -3.42 eV per atom

# GGA-PBE BeFe2Ru, relaxed
data_BeFe2Ru
_chemical_formula_sum 'Be1 Fe2 Ru1'
_cell_length_a 8.131
_cell_length_b 8.131
_cell_length_c 8.131
_cell_angle_alpha 18.23
_cell_angle_beta 18.23
_cell_angle_gamma 18.23
_space_group_name_H-M_alt 'P 1'
_space_group_IT_number 1
loop_
_space_group_symop_operation_xyz
'x,y,z'
loop_
_atom_site_label
_atom_site_type_symbol
_atom_site_fract_x
_atom_site_fract_y
_atom_site_fract_z
Ru1 Ru 0.250 0.250 0.250
Fe1 Fe 0.006 0.006 0.006
Fe2 Fe 0.494 0.494 0.494
Be1 Be 0.750 0.750 0.750
# E_form = 0.50 eV/f.u.
# total magnetization = 3.883 μB per formula unit
# electronic total energy = -7.36 eV per atom

> Among the records above, which one has the lowest electronic total energy?

Hf2TaPt

> Among the records above, which one has the highest electronic total energy?

SrZn3CuAg

> What is the total magnetization in the seventh record?

0.000 μB per formula unit

> Number 6 is which compound?

Ca2TmPb